Entry from the Alexandria database: a relaxed structure of CdRuAu2 (GGA-PBE).

Summary:
- crystal system = trigonal
- DFT formation energy (meV per atom) = 228.1

a = 2.9156 Å, b = 2.9156 Å, c = 28.4689 Å
α = 90.00°, β = 90.00°, γ = 120.00°
With the nearest neighbours (Å) after each atom.
Space group R3m (No. 160, hexagonal axes)
One atom of each set of equivalent atoms:
Cd 0.0000 0.0000 0.0000 [3 per cell]  3 Ru 2.86, 6 Cd 2.92, 3 Au 2.99
Ru 0.0000 0.0000 0.7480 [3 per cell]  3 Au 2.82, 3 Cd 2.86, 6 Ru 2.92
Au 0.0000 0.0000 0.2463 [3 per cell]  9 Au 2.92-2.96, 3 Cd 2.99
Au 0.0000 0.0000 0.4941 [3 per cell]  3 Ru 2.82, 9 Au 2.92-2.96


Entry from the Alexandria database: a relaxed structure of Sm2PdPt2 (GGA-PBE).

Summary:
- crystal system = monoclinic
- DFT formation energy (meV per atom) = -1034.8

a = 9.8779 Å, b = 5.6166 Å, c = 8.0309 Å
α = 90.00°, β = 106.59°, γ = 90.00°
With the nearest neighbours (Å) after each atom.
Space group C2/c (No. 15)
One atom of each set of equivalent atoms:
Sm 0.1521 0.1361 0.1516 [8 per cell]  2 Pd 2.97-3.24, 6 Pt 3.00-3.13
Pd 0.0000 0.2722 0.7500 [4 per cell]  4 Pt 2.76-2.83, 2 Sm 2.97
Pt 0.1293 0.3751 0.4953 [8 per cell]  2 Pt 2.75-2.93, 2 Pd 2.76-2.83, 3 Sm 3.00-3.03


Entry from the Alexandria database: a relaxed structure of Mn4C (GGA-PBE).

Summary:
- crystal system = tetragonal
- DFT formation energy (meV per atom) = 108.9

a = 6.0965 Å, b = 6.0965 Å, c = 2.5390 Å
α = 90.00°, β = 90.00°, γ = 90.00°
With the nearest neighbours (Å) after each atom.
Space group I4/m (No. 87)
One atom of each set of equivalent atoms:
Mn 0.0757 0.2636 0.0000 [8 per cell]  2 C 2.10
C 0.0000 0.0000 0.5000 [2 per cell]  8 Mn 2.10


Entry from the Alexandria database: a relaxed structure of Er5Hg2Ru (GGA-PBE).

Summary:
- crystal system = orthorhombic
- DFT formation energy (meV per atom) = -409.2

a = 7.1175 Å, b = 11.8873 Å, c = 4.8401 Å
α = 90.00°, β = 90.00°, γ = 90.00°
With the nearest neighbours (Å) after each atom.
Space group Pbam (No. 55)
One atom of each set of equivalent atoms:
Er 0.0000 0.0000 0.0000 [2 per cell]  4 Hg 3.14, 4 Er 3.49
Er 0.1406 0.2934 0.0000 [4 per cell]  1 Ru 2.65
Er 0.1757 0.5842 0.5000 [4 per cell]  2 Ru 2.90, 2 Hg 3.04-3.10, 1 Er 3.20
Hg 0.0840 0.8394 0.5000 [4 per cell]  9 Er 3.04-3.38
Ru 0.0000 0.5000 0.0000 [2 per cell]  6 Er 2.65-2.90


Entry from the Alexandria database: a relaxed structure of LiSm3Se2Cl6 (GGA-PBE).

Summary:
- crystal system = monoclinic
- formation energy from raw total energies (kJ/mol of formula units) = -2329.2

a = 13.7111 Å, b = 8.2174 Å, c = 6.2407 Å
α = 90.00°, β = 91.53°, γ = 90.00°
With the nearest neighbours (Å) after each atom.
Space group C2/m (No. 12)
One atom of each set of equivalent atoms:
Li 0.0000 0.0000 0.0000 [2 per cell]  6 Cl 2.50-2.79
Sm 0.0000 0.5000 0.5000 [2 per cell]  4 Cl 2.79, 2 Se 2.85
Sm 0.2500 0.2500 0.0000 [4 per cell]  4 Cl 2.77-2.78, 2 Se 2.85
Se 0.1758 0.5000 0.2659 [4 per cell]  3 Sm 2.85
Cl 0.0776 0.2510 0.7560 [8 per cell]  2 Sm 2.78-2.79, 1 Li 2.79
Cl 0.1575 0.0000 0.2114 [4 per cell]  1 Li 2.50, 2 Sm 2.77


Entry from the Alexandria database: a relaxed structure of Nb3FeSe8S2 (GGA-PBE).

Summary:
- crystal system = monoclinic
- formation energy from raw total energies (kJ/mol of formula units) = -909.0

a = 9.9655 Å, b = 3.5023 Å, c = 10.0368 Å
α = 90.00°, β = 111.29°, γ = 90.00°
With the nearest neighbours (Å) after each atom.
Space group Pm (No. 6)
One atom of each set of equivalent atoms:
Nb 0.0000 0.0000 0.0000 [1 per cell]  3 S 2.31-2.43
Nb 0.1654 0.5000 0.7010 [1 per cell]  8 Se 2.66-2.79
Nb 0.7514 0.0000 0.4442 [1 per cell]  8 Se 2.64-2.75
Fe 0.9190 0.5000 0.1798 [1 per cell]  3 S 2.27-2.32, 3 Se 2.45-2.47
Se 0.1997 0.5000 0.9869 [1 per cell]  3 Nb 2.69-2.76
Se 0.2752 0.0000 0.5645 [1 per cell]  1 Se 2.37
Se 0.3794 0.0000 0.8174 [1 per cell]  1 Se 2.37
Se 0.5382 0.5000 0.3240 [1 per cell]  1 Se 2.36
Se 0.6377 0.5000 0.5761 [1 per cell]  1 Se 2.36
Se 0.7402 0.0000 0.1686 [1 per cell]  2 Fe 2.47, 1 Nb 2.73
Se 0.9451 0.5000 0.4320 [1 per cell]  1 Fe 2.45, 2 Nb 2.64
Se 0.9680 0.0000 0.7097 [1 per cell]  4 Nb 2.66-2.81
S 0.0822 0.0000 0.2467 [1 per cell]  1 Nb 2.31, 2 Fe 2.32
S 0.8179 0.5000 0.9374 [1 per cell]  1 Fe 2.27, 2 Nb 2.43


In μB per cell, the spin magnetization values for the records above are, in order, 2.20; 0.00; 0.00; 0.00; 0.00; 0.00.
In g/cm3, the ρ values for the records above are, in order, 14.4; 12.4; 8.2; 10.9; 3.9; 5.2.